# PBEsol OsRu3Br, optimized geometry
data_OsRu3Br
_space_group_name_H-M_alt 'P m -3 m'
_space_group_IT_number 221
_space_group_name_Hall '-P 4 2 3'
_cell_length_a 4.685
_cell_length_b 4.685
_cell_length_c 4.685
_cell_angle_alpha 90.00
_cell_angle_beta 90.00
_cell_angle_gamma 90.00
loop_
_atom_site_label
_atom_site_type_symbol
_atom_site_fract_x
_atom_site_fract_y
_atom_site_fract_z
_atom_site_occupancy
Os1 Os 0.000 0.000 0.000 1
Ru1 Ru 0.000 0.000 0.500 1
Br1 Br 0.500 0.500 0.500 1
# VASP energy   -34.62 eV for the cell shown
# N(E_F)   1.4598 states/eV/atom
# Energy relative to the elements, uncorrected   192.72 kJ per mole of atoms